(1)
Below is an optimized crystal structure of LaBeTcW, with properties calculated at the PBE level.

Summary:
calculated total energy = -7.379 eV/atom

Geometry as CIF:
```
data_LaBeTcW
_symmetry_space_group_name_H-M 'F -4 3 m'
_symmetry_Int_Tables_number 216
_symmetry_space_group_name_Hall 'F -4 2 3'
_cell_length_a 6.584
_cell_length_b 6.584
_cell_length_c 6.584
_cell_angle_alpha 90.00
_cell_angle_beta 90.00
_cell_angle_gamma 90.00
loop_
_atom_site_label
_atom_site_type_symbol
_atom_site_fract_x
_atom_site_fract_y
_atom_site_fract_z
La1 La 0.000 0.000 0.000
Be1 Be 0.250 0.250 0.750
Tc1 Tc 0.250 0.250 0.250
W1 W 0.000 0.000 0.500
```

***

(2)
Below is an optimized crystal structure of AgBr2, with properties calculated at the PBE level.

Summary:
calculated total energy = -2.215 eV/atom

Geometry as CIF:
```
data_AgBr2
_symmetry_space_group_name_H-M 'C m c 21'
_symmetry_Int_Tables_number 36
_cell_length_a 4.134
_cell_length_b 6.789
_cell_length_c 11.988
_cell_angle_alpha 90.00
_cell_angle_beta 90.00
_cell_angle_gamma 90.00
loop_
_symmetry_equiv_pos_as_xyz
'x,y,z'
'-x,-y,z+1/2'
'-x,y,z'
'x,-y,z+1/2'
'x+1/2,y+1/2,z'
'-x+1/2,-y+1/2,z+1/2'
'-x+1/2,y+1/2,z'
'x+1/2,-y+1/2,z+1/2'
loop_
_atom_site_label
_atom_site_type_symbol
_atom_site_fract_x
_atom_site_fract_y
_atom_site_fract_z
Ag1 Ag 0.000 0.164 0.000
Br1 Br 0.000 0.144 0.373
Br2 Br 0.000 0.471 0.129
```

***

(3)
Below is an optimized crystal structure of K2CdGeF6, with properties calculated at the PBE level.

Summary:
calculated total energy = -4.212 eV/atom

Geometry as CIF:
```
data_K2CdGeF6
_symmetry_space_group_name_H-M 'R -3 m'
_symmetry_Int_Tables_number 166
_symmetry_space_group_name_Hall '-R 3 2"'
_cell_length_a 6.0640
_cell_length_b 6.0640
_cell_length_c 29.9112
_cell_angle_alpha 90.00
_cell_angle_beta 90.00
_cell_angle_gamma 120.00
loop_
_atom_site_label
_atom_site_type_symbol
_atom_site_fract_x
_atom_site_fract_y
_atom_site_fract_z
K1 K 0.0000 0.0000 0.1380
K2 K 0.0000 0.0000 0.2778
Cd1 Cd 0.0000 0.0000 0.0000
Cd2 Cd 0.0000 0.0000 0.5000
Ge1 Ge 0.0000 0.0000 0.4097
F1 F 0.0213 0.5107 0.2952
F2 F 0.0241 0.5120 0.8752
```

***

What did the third record say?
Below is an optimized crystal structure of K2CdGeF6, with properties calculated at the PBE level.

Summary:
calculated total energy = -4.212 eV/atom

Geometry as CIF:
```
data_K2CdGeF6
_symmetry_space_group_name_H-M 'R -3 m'
_symmetry_Int_Tables_number 166
_symmetry_space_group_name_Hall '-R 3 2"'
_cell_length_a 6.0640
_cell_length_b 6.0640
_cell_length_c 29.9112
_cell_angle_alpha 90.00
_cell_angle_beta 90.00
_cell_angle_gamma 120.00
loop_
_atom_site_label
_atom_site_type_symbol
_atom_site_fract_x
_atom_site_fract_y
_atom_site_fract_z
K1 K 0.0000 0.0000 0.1380
K2 K 0.0000 0.0000 0.2778
Cd1 Cd 0.0000 0.0000 0.0000
Cd2 Cd 0.0000 0.0000 0.5000
Ge1 Ge 0.0000 0.0000 0.4097
F1 F 0.0213 0.5107 0.2952
F2 F 0.0241 0.5120 0.8752
```

***

Q: Which value of calculated total energy does entry 3 give?
A: -4.212 eV/atom

***

Q: Among the records above, which one has the highest calculated total energy?
A: AgBr2

***

Q: Look up the calculated total energy of the second one.
A: -2.215 eV/atom